Entry 1:
# Zn2AgRu

An optimized crystal structure of Zn2AgRu (PBE, Alexandria via LeMat-Bulk).

Calculated values
**Theoretical density**: 9.33 g/cm³
**Crystal system**: monoclinic

Unit cell a=2.812 b=2.812 c=8.955 alpha=81.22 beta=81.22 gamma=60.20
Atoms (fractional coordinates):
Zn  0.079  0.079  0.763
Zn  0.254  0.254  0.237
Ag  0.500  0.500  0.500
Ru  0.667  0.667  0.000

Entry 2:
# Zn2AgRu

An optimized crystal structure of Zn2AgRu (PBE, Alexandria via LeMat-Bulk).

Calculated values
**Theoretical density**: 8.37 g/cm³
**Crystal system**: tetragonal

Unit cell a=3.895 b=3.895 c=9.303 alpha=77.92 beta=77.92 gamma=90.00
Site moments in Bohr magnetons follow the coordinates.
Atoms (fractional coordinates):
Ru  0.500  0.500  0.000  0.35
Ru  0.250  0.750  0.500  0.35
Zn  0.602  0.125  0.250  -0.01
Zn  0.148  0.625  0.250  -0.01
Zn  0.375  0.398  0.750  -0.01
Zn  0.875  0.852  0.750  -0.01
Ag  0.000  0.000  0.000  -0.01
Ag  0.750  0.250  0.500  -0.01

Entry 3:
# Zn2AgRu

An optimized crystal structure of Zn2AgRu (PBE, Alexandria via LeMat-Bulk).

Calculated values
**Theoretical density**: 9.40 g/cm³
**Crystal system**: monoclinic

Unit cell a=5.098 b=5.098 c=4.641 alpha=70.62 beta=70.62 gamma=32.03
Site moments in Bohr magnetons follow the coordinates.
Atoms (fractional coordinates):
Ag  0.495  0.495  0.570  0.00
Ru  0.258  0.258  0.173  0.86
Zn  0.002  0.002  0.072  -0.01
Zn  0.745  0.745  0.685  -0.01

Entry 4:
# Zn2AgRu

An optimized crystal structure of Zn2AgRu (PBE, Alexandria via LeMat-Bulk).

Calculated values
**Theoretical density**: 9.44 g/cm³
**Crystal system**: monoclinic

Unit cell a=4.274 b=2.749 c=5.279 alpha=74.57 beta=90.00 gamma=90.00
Atoms (fractional coordinates):
Ag  0.000  0.453  0.467
Ru  0.500  0.791  0.796
Zn  0.000  0.203  0.971
Zn  0.500  0.053  0.267

Entry 5:
# Zn2AgRu

An optimized crystal structure of Zn2AgRu (PBE, Alexandria via LeMat-Bulk).

Calculated values
**Theoretical density**: 9.33 g/cm³
**Crystal system**: orthorhombic

Unit cell a=2.722 b=4.073 c=5.454 alpha=90.00 beta=90.00 gamma=90.00
Atoms (fractional coordinates):
Ag  0.000  0.000  0.486
Ru  0.500  0.500  0.777
Zn  0.000  0.000  0.978
Zn  0.500  0.500  0.259

Entry 6:
# Zn3AgRu

An optimized crystal structure of Zn3AgRu (PBE, Alexandria via LeMat-Bulk).

Calculated values
**Theoretical density**: 6.26 g/cm³
**Crystal system**: cubic

Unit cell a=4.754 b=4.754 c=4.754 alpha=90.00 beta=90.00 gamma=90.00
Atoms (fractional coordinates):
Ru  0.000  0.000  0.000
Zn  0.000  0.500  0.000
Zn  0.000  0.000  0.500
Zn  0.500  0.000  0.000
Ag  0.500  0.500  0.500

Calculated ΔE to the lowest computed polymorph (eV per formula unit), listed in the same order as above: 0.24; 1.87; 0.40; 0.49; 0.66; 0.00
Calculated calculated volume (Å³/f.u.), listed in the same order as above: 60.5; 67.4; 60.0; 59.8; 60.5; 107.4
Calculated calculated total energy (eV per cell), listed in the same order as above: -14.56; -25.87; -14.40; -14.31; -14.14; -13.10